[1]
YPW2 | Alexandria via LeMat-Bulk | PBE-GGA | relaxed; E_form = 0.29 eV per atom; space-group type = I4/mmm, No. 139; M_tot = 0.0 μB/cell
1.0
-1.9022 1.9022 5.0763
1.9022 -1.9022 5.0763
1.9022 1.9022 -5.0763
W P Y
2 1 1
Direct
0.2500 0.7500 0.5000 W
0.7500 0.2500 0.5000 W
0.0000 0.0000 0.0000 P
0.5000 0.5000 0.0000 Y

***

[2]
Tl3V5Se12 | Alexandria via LeMat-Bulk | PBE-GGA | relaxed; space-group type = Ia-3d, No. 230; M_tot = 15.9 μB/cell; formation energy without anion corrections = -0.469 eV per atom
1.0
13.9893 0.0000 0.0000
-4.6631 13.1892 0.0000
-4.6631 -6.5946 11.4222
Se V Tl
48 20 12
Direct
0.3929 0.9917 0.8069 Se
0.3929 0.4012 0.0860 Se
0.8152 0.9140 0.3069 Se
0.8069 0.4917 0.3929 Se
0.1848 0.0988 0.9917 Se
0.6931 0.5860 0.1848 Se
0.0988 0.1848 0.4917 Se
0.4140 0.3069 0.3152 Se
0.4012 0.0083 0.3152 Se
0.5083 0.3152 0.9012 Se
0.5860 0.6931 0.6848 Se
0.4917 0.6848 0.0988 Se
0.9140 0.8152 0.8069 Se
0.3069 0.8929 0.9917 Se
0.5083 0.1931 0.1071 Se
0.9012 0.8152 0.5083 Se
0.9917 0.3929 0.3069 Se
0.8929 0.3069 0.4917 Se
0.0860 0.1848 0.1931 Se
0.5988 0.9917 0.6848 Se
0.3069 0.4140 0.8152 Se
0.4140 0.1071 0.5988 Se
0.6848 0.1931 0.5860 Se
0.9012 0.0860 0.8929 Se
0.1848 0.0860 0.6931 Se
0.1071 0.4140 0.0988 Se
0.6071 0.0083 0.1931 Se
0.3152 0.5083 0.4012 Se
0.1931 0.6848 0.0860 Se
0.9917 0.5988 0.1848 Se
0.6931 0.1071 0.0083 Se
0.9140 0.0988 0.6071 Se
0.8069 0.3152 0.9140 Se
0.5860 0.8929 0.4012 Se
0.6071 0.5988 0.9140 Se
0.8152 0.9012 0.0083 Se
0.1071 0.6931 0.5083 Se
0.3152 0.8069 0.4140 Se
0.5988 0.6071 0.4140 Se
0.4917 0.8069 0.8929 Se
0.1931 0.5083 0.6071 Se
0.0083 0.4012 0.8152 Se
0.8929 0.5860 0.9012 Se
0.4012 0.3929 0.5860 Se
0.6848 0.4917 0.5988 Se
0.0083 0.6071 0.6931 Se
0.0988 0.9140 0.1071 Se
0.0860 0.9012 0.3929 Se
0.0000 0.5000 0.5000 V
0.3750 0.1250 0.7500 V
0.0000 0.0000 0.5000 V
0.6250 0.7500 0.8750 V
0.0000 0.0000 0.0000 V
0.1250 0.3750 0.2500 V
0.5000 0.5000 0.0000 V
0.7500 0.1250 0.8750 V
0.1250 0.7500 0.3750 V
0.3750 0.2500 0.1250 V
0.2500 0.3750 0.6250 V
0.0000 0.5000 0.0000 V
0.8750 0.6250 0.7500 V
0.8750 0.2500 0.6250 V
0.6250 0.8750 0.2500 V
0.7500 0.6250 0.3750 V
0.5000 0.0000 0.5000 V
0.2500 0.8750 0.1250 V
0.5000 0.0000 0.0000 V
0.5000 0.5000 0.5000 V
0.6250 0.3750 0.7500 Tl
0.3750 0.6250 0.2500 Tl
0.7500 0.8750 0.6250 Tl
0.1250 0.2500 0.8750 Tl
0.6250 0.2500 0.3750 Tl
0.3750 0.7500 0.6250 Tl
0.2500 0.6250 0.8750 Tl
0.8750 0.7500 0.1250 Tl
0.7500 0.3750 0.1250 Tl
0.1250 0.8750 0.7500 Tl
0.2500 0.1250 0.3750 Tl
0.8750 0.1250 0.2500 Tl

***

[3]
BaCoOs2 | Alexandria via LeMat-Bulk | PBE-GGA | relaxed; E_form = 1.19 eV per atom; space-group type = Imm2, No. 44; M_tot = 0.4 μB/cell
1.0
-1.1461 -3.6249 -4.2945
-3.5541 -4.1234 1.8063
0.7150 5.5966 -1.0310
Os Ba Co
2 1 1
Direct
0.1826 0.6826 0.5000 Os
0.9938 0.9938 0.0000 Os
0.5047 0.5047 0.0000 Ba
0.8188 0.3188 0.5000 Co

***

[4]
In2TeIr | Alexandria via LeMat-Bulk | PBE-GGA | relaxed; space-group type = R3m, No. 160; M_tot = 0.0 μB/cell; formation energy without anion corrections = 0.035 eV per atom
1.0
7.8400 0.0022 0.0013
6.8389 3.8336 0.0013
6.8389 1.7871 3.3915
In Ir Te
2 1 1
Direct
0.9960 0.9960 0.9960 In
0.2339 0.2339 0.2339 In
0.4967 0.4967 0.4967 Ir
0.7734 0.7734 0.7734 Te